DFT (PBE) results for a relaxed TcNi4Pt3 crystal.

Total energy ... -52.30 eV/f.u.
Spin magnetization ... 2.102 μB/f.u.
Energy relative to the elements ... -0.09 eV per atom

abc: 2.6857 2.6857 14.6603
angles: 90.00 90.00 90.00
Last column: nearest neighbours and their distance in Å.
Sites, in units of the cell vectors:
Pt 0.5000 0.5000 0.2484  8 Ni 2.65-2.67, 4 Pt 2.69
Pt 0.5000 0.5000 0.7516  8 Ni 2.65-2.67, 4 Pt 2.69
Pt 0.5000 0.5000 0.5000  8 Ni 2.64, 4 Pt 2.69
Ni 0.0000 0.0000 0.3746  8 Pt 2.64-2.65, 4 Ni 2.69
Ni 0.0000 0.0000 0.1204  4 Tc 2.59, 4 Pt 2.67, 4 Ni 2.69
Ni 0.0000 0.0000 0.6254  8 Pt 2.64-2.65, 4 Ni 2.69
Ni 0.0000 0.0000 0.8796  4 Tc 2.59, 4 Pt 2.67, 4 Ni 2.69
Tc 0.5000 0.5000 0.0000  8 Ni 2.59, 4 Tc 2.69

=====

DFT (PBE) results for a relaxed Tc2NiPt crystal.

Total energy ... -31.18 eV/f.u.
Spin magnetization ... 0.001 μB/f.u.
Energy relative to the elements ... 0.34 eV per atom

abc: 4.3229 4.3229 4.3229
angles: 60.00 60.00 60.00
Last column: nearest neighbours and their distance in Å.
Sites, in units of the cell vectors:
Tc 0.7500 0.7500 0.7500  4 Ni 2.65, 4 Pt 2.65
Tc 0.2500 0.2500 0.2500  4 Ni 2.65, 4 Pt 2.65
Ni 0.0000 0.0000 0.0000  8 Tc 2.65
Pt 0.5000 0.5000 0.5000  8 Tc 2.65

=====

DFT (PBE) results for a relaxed Tc2NiPt8 crystal.

Total energy ... -76.27 eV/f.u.
Spin magnetization ... 0.281 μB/f.u.
Energy relative to the elements ... -0.13 eV per atom

abc: 3.8919 6.2283 7.3430
angles: 104.39 105.37 90.00
Last column: nearest neighbours and their distance in Å.
Sites, in units of the cell vectors:
Pt 0.4067 0.5421 0.8135  3 Tc 2.69-2.75, 8 Pt 2.73-2.83, 1 Ni 2.82
Pt 0.8629 0.8088 0.7259  3 Tc 2.68-2.75, 7 Pt 2.73-2.81, 2 Ni 2.79
Pt 0.6825 0.9187 0.3650  8 Pt 2.73-2.82, 1 Ni 2.76, 3 Tc 2.80-2.87
Pt 0.0483 0.7362 0.0967  2 Ni 2.74, 9 Pt 2.75-2.91, 1 Tc 2.83
Pt 0.5933 0.4579 0.1865  3 Tc 2.69-2.75, 8 Pt 2.73-2.83, 1 Ni 2.82
Pt 0.9517 0.2638 0.9033  2 Ni 2.74, 9 Pt 2.75-2.91, 1 Tc 2.83
Pt 0.1371 0.1912 0.2741  3 Tc 2.68-2.75, 7 Pt 2.73-2.81, 2 Ni 2.79
Pt 0.3175 0.0813 0.6350  8 Pt 2.73-2.82, 1 Ni 2.76, 3 Tc 2.80-2.87
Tc 0.2295 0.6241 0.4590  2 Tc 2.64, 10 Pt 2.68-2.87
Tc 0.7705 0.3759 0.5410  2 Tc 2.64, 10 Pt 2.68-2.87
Ni 0.5000 0.0000 0.0000  12 Pt 2.74-2.82

=====

DFT (PBE) results for a relaxed TcNiPt2 crystal.

Total energy ... -28.51 eV/f.u.
Spin magnetization ... 0.000 μB/f.u.
Energy relative to the elements ... -0.07 eV per atom

abc: 4.7068 4.7068 4.7114
angles: 80.47 80.47 33.64
Last column: nearest neighbours and their distance in Å.
Sites, in units of the cell vectors:
Ni 0.2500 0.2500 0.2500  6 Pt 2.71-2.73, 4 Tc 2.72, 2 Ni 2.72
Pt 0.9983 0.9983 0.0007  3 Tc 2.71-2.73, 3 Ni 2.71-2.73, 6 Pt 2.72
Pt 0.5017 0.5017 0.4993  3 Tc 2.71-2.73, 3 Ni 2.71-2.73, 6 Pt 2.72
Tc 0.7500 0.7500 0.7500  6 Pt 2.71-2.73, 4 Ni 2.72, 2 Tc 2.72

=====

DFT (PBE) results for a relaxed TcNi2Pt2 crystal.

Total energy ... -34.47 eV/f.u.
Spin magnetization ... 0.000 μB/f.u.
Energy relative to the elements ... -0.09 eV per atom

abc: 5.3286 6.0480 5.9999
angles: 72.64 77.14 47.53
Last column: nearest neighbours and their distance in Å.
Sites, in units of the cell vectors:
Tc 0.3614 0.5916 0.8086  1 Tc 2.54, 5 Pt 2.62-2.71, 6 Ni 2.66-2.75
Tc 0.6386 0.4084 0.1914  1 Tc 2.54, 5 Pt 2.62-2.71, 6 Ni 2.66-2.75
Ni 0.1441 0.4005 0.2006  6 Pt 2.61-2.80, 3 Ni 2.65-2.73, 3 Tc 2.66-2.68
Ni 0.9558 0.1921 0.6006  6 Pt 2.61-2.69, 3 Ni 2.65-2.73, 3 Tc 2.67-2.75
Ni 0.0442 0.8079 0.3994  6 Pt 2.61-2.69, 3 Ni 2.65-2.73, 3 Tc 2.67-2.75
Ni 0.8559 0.5995 0.7994  6 Pt 2.61-2.80, 3 Ni 2.65-2.73, 3 Tc 2.66-2.68
Pt 0.7568 0.9926 0.9990  3 Tc 2.65-2.71, 4 Pt 2.66-2.79, 5 Ni 2.66-2.71
Pt 0.4403 0.2223 0.5846  7 Ni 2.61-2.80, 2 Tc 2.62-2.69, 3 Pt 2.76-2.79
Pt 0.5597 0.7777 0.4154  7 Ni 2.61-2.80, 2 Tc 2.62-2.69, 3 Pt 2.76-2.79
Pt 0.2432 0.0074 0.0010  3 Tc 2.65-2.71, 4 Pt 2.66-2.79, 5 Ni 2.66-2.71

=====

DFT (PBE) results for a relaxed TcNiPt crystal.

Total energy ... -22.53 eV/f.u.
Spin magnetization ... 0.000 μB/f.u.
Energy relative to the elements ... -0.11 eV per atom

abc: 4.6271 4.6271 4.6271
angles: 145.97 131.69 60.40
Last column: nearest neighbours and their distance in Å.
Sites, in units of the cell vectors:
Pt 0.6665 0.6665 0.0000  5 Tc 2.62-2.70, 5 Ni 2.63-2.70, 2 Pt 2.71
Ni 0.9951 0.9951 0.0000  5 Pt 2.63-2.70, 5 Tc 2.64-2.75, 2 Ni 2.71
Tc 0.3385 0.3385 0.0000  5 Pt 2.62-2.70, 5 Ni 2.64-2.75, 2 Tc 2.71

=====

DFT (PBE) results for a relaxed TcNiPt crystal.

Total energy ... -22.35 eV/f.u.
Spin magnetization ... 0.000 μB/f.u.
Energy relative to the elements ... -0.05 eV per atom

abc: 4.2611 4.2611 2.6266
angles: 90.00 90.00 120.00
Last column: nearest neighbours and their distance in Å.
Sites, in units of the cell vectors:
Ni 0.0000 0.0000 0.1678  3 Pt 2.46, 2 Ni 2.63
Tc 0.6667 0.3333 0.6661  2 Tc 2.63, 6 Ni 2.79, 6 Pt 2.79
Pt 0.3333 0.6667 0.1661  3 Ni 2.46, 2 Pt 2.63

=====

DFT (PBE) results for a relaxed TiTcNiPt crystal.

Total energy ... -31.38 eV/f.u.
Spin magnetization ... 0.003 μB/f.u.
Energy relative to the elements ... -0.32 eV per atom

abc: 4.3089 4.3089 4.3089
angles: 60.00 60.00 60.00
Last column: nearest neighbours and their distance in Å.
Sites, in units of the cell vectors:
Ni 0.5000 0.5000 0.5000  4 Tc 2.64, 4 Pt 2.64
Tc 0.2500 0.2500 0.2500  4 Ni 2.64, 4 Ti 2.64
Pt 0.7500 0.7500 0.7500  4 Ni 2.64, 4 Ti 2.64
Ti 0.0000 0.0000 0.0000  4 Tc 2.64, 4 Pt 2.64